This record from OQMD describes crystalline TlHg2Os at its relaxed geometry. The functional is PBE.

Values from the calculation:
V, Å³ per atom: 20.36
Total magnetic moment, μB per atom: 0.03
Space-group type: No. 216
E_tot, eV/atom: -2.541

```
TlHg2Os
1.0
0.000 3.440 3.440
3.440 0.000 3.440
3.440 3.440 0.000
Hg Os Tl
2 1 1
direct
0.000 0.000 0.000
0.750 0.750 0.750
0.250 0.250 0.250
0.500 0.500 0.500
```